Pm6Te3AsPt2 PBE relaxed; space group = C2/m; formation energy without anion corrections = -15.96 eV/f.u.
1.0
7.414 -0.009 -0.007
-3.713 6.417 -0.007
-1.242 -2.150 7.409
Te Pm Pt As
3 6 2 1
Cartesian
1.230 2.129 3.697
4.980 -0.037 3.697
-2.520 4.295 3.697
-0.050 4.268 5.776
0.018 0.031 5.789
-1.263 2.169 1.619
3.722 2.089 5.776
2.510 -0.010 1.619
2.441 4.227 1.606
-0.014 4.281 -0.007
3.715 2.127 -0.007
0.000 0.000 0.000

=====

Pm6Te3As2Pt PBE relaxed; space group = C2/m; formation energy without anion corrections = -17.27 eV/f.u.
1.0
-0.341 -2.035 -3.755
5.628 -6.184 2.841
-8.448 -2.267 4.439
As Te Pt Pm
2 3 1 6
Cartesian
-0.993 -3.169 1.807
-2.167 -7.317 1.718
-4.947 -4.236 0.300
2.644 -4.109 -0.457
1.787 -6.250 3.225
-0.170 -1.018 -1.877
0.048 -5.662 0.620
1.183 -1.442 0.674
-2.395 -2.692 -0.768
-3.208 -4.824 2.905
-4.343 -9.044 2.851
-0.765 -7.794 4.293

=====

Pm2TiAs3Pt4 PBE relaxed; space group = P-4m2; ΔH_f (0 K) = -906 meV/atom
1.0
-1.980 2.088 3.121
2.885 -1.413 2.775
6.113 8.686 -1.933
Pm Ti Pt As
2 1 4 3
Cartesian
0.408 3.030 1.119
6.158 5.994 -0.104
3.509 4.681 1.982
0.000 0.000 0.000
0.452 0.338 2.948
3.681 2.475 0.680
2.885 6.549 0.335
4.281 8.533 -0.106
2.285 0.491 1.121
3.057 4.343 -0.967

=====

Pm2TmAs3Pt4 PBE relaxed; space group = P-4m2; ΔH_f (0 K) = -971 meV/atom
1.0
4.275 0.000 0.000
0.000 4.275 0.000
0.000 0.000 11.312
Pt As Pm Tm
4 3 2 1
Cartesian
0.000 0.000 0.000
2.137 0.000 7.385
0.000 2.137 3.927
2.137 2.137 0.000
0.000 0.000 5.656
0.000 2.137 1.473
2.137 0.000 9.839
2.137 0.000 2.422
0.000 2.137 8.890
2.137 2.137 5.656

=====

Pm2UAs3Pt4 PBE relaxed; space group = P-4m2; ΔH_f (0 K) = -797 meV/atom
1.0
4.252 0.000 0.000
0.000 4.252 0.000
0.000 0.000 11.558
Pt U As Pm
4 1 3 2
Cartesian
2.126 0.000 7.650
0.000 2.126 3.908
2.126 2.126 0.000
0.000 0.000 0.000
2.126 2.126 5.779
0.000 0.000 5.779
2.126 0.000 10.100
0.000 2.126 1.459
2.126 0.000 2.497
0.000 2.126 9.061

=====

Pm2ZnAs3Pt4 PBE relaxed; space group = P-4m2; ΔH_f (0 K) = -864 meV/atom
1.0
-2.819 2.543 -2.079
-2.799 -3.293 -0.234
-4.102 2.844 9.041
Pt As Pm Zn
4 3 2 1
Cartesian
0.000 0.000 0.000
-3.990 3.061 4.648
-2.921 -0.592 3.236
-2.809 -0.375 -1.156
-1.954 -1.262 1.105
-4.956 3.731 6.779
-2.051 1.422 4.520
-4.508 0.509 6.736
-2.402 1.960 1.149
-4.860 1.047 3.364

=====

PmPu2As3 PBE relaxed; offset from the most stable computed form = 0 meV/atom; space group = Immm; ΔH_f (0 K) = -1185 meV/atom
1.0
-3.091 -2.674 -0.834
3.593 -4.521 1.177
-2.009 3.761 5.820
As Pm Pu
3 1 2
Cartesian
-2.550 0.543 2.493
-1.692 -3.110 0.596
0.185 -0.324 5.567
-0.753 -1.717 3.081
-1.585 1.934 4.888
0.078 -5.368 1.275

=====

Pm3PuAs4 PBE relaxed; offset from the most stable computed form = 0 meV/atom; space group = Cmmm; ΔH_f (0 K) = -1390 meV/atom
1.0
4.217 0.000 0.000
0.000 7.289 -0.069
0.000 -2.363 6.896
As Pm Pu
4 3 1
Cartesian
2.109 0.019 5.177
0.000 3.726 5.165
0.000 1.200 1.663
2.109 4.908 1.650
0.000 -1.182 3.448
2.109 2.463 3.414
0.000 3.645 -0.034
2.109 0.000 0.000

=====

PmPu2As PBE relaxed; offset from the most stable computed form = 0 meV/atom; space group = P4/mmm; ΔH_f (0 K) = -419 meV/atom
1.0
4.952 0.000 0.000
0.000 4.424 0.000
0.000 0.000 4.424
Pu Pm As
2 1 1
Cartesian
0.000 2.212 0.000
0.000 0.000 2.212
2.476 2.212 2.212
2.476 0.000 0.000

=====

PmPu2As PBE relaxed; offset from the most stable computed form = 383 meV/atom; space group = Fm-3m; ΔH_f (0 K) = -36 meV/atom
1.0
5.210 0.000 0.000
2.605 4.512 0.000
2.605 1.504 4.254
Pm As Pu
1 1 2
Cartesian
5.210 3.008 2.127
0.000 0.000 0.000
7.814 4.512 3.190
2.605 1.504 1.063

=====

Pm2PuAs PBE relaxed; offset from the most stable computed form = 0 meV/atom; space group = P4/mmm; ΔH_f (0 K) = -412 meV/atom
1.0
4.431 0.000 0.000
0.000 4.816 0.000
0.000 0.000 4.816
Pm As Pu
2 1 1
Cartesian
0.000 2.408 0.000
0.000 0.000 2.408
2.215 0.000 0.000
2.215 2.408 2.408

=====

Pm2PuAs PBE relaxed; offset from the most stable computed form = 152 meV/atom; space group = R-3m; ΔH_f (0 K) = -260 meV/atom
1.0
3.857 0.000 0.000
1.928 3.340 0.000
1.928 1.113 10.400
As Pm Pu
1 2 1
Cartesian
3.857 2.227 5.200
5.785 3.340 3.409
1.929 1.113 6.991
0.000 0.000 0.000

=====

PmPu3As4 PBE relaxed; space group = Pm-3m; ΔH_f (0 K) = -1136 meV/atom
1.0
-0.345 -1.920 5.552
-5.308 -2.281 -1.119
2.517 -5.074 -1.598
Pu As Pm
3 4 1
Cartesian
-1.395 -3.677 -1.359
1.086 -3.497 1.977
-2.827 -2.101 2.217
-0.173 -0.960 2.776
-1.568 -4.638 1.417
-2.654 -1.141 -0.559
1.259 -2.537 -0.799
0.000 0.000 0.000

=====

Pm3PuAs4 PBE relaxed; offset from the most stable computed form = 6 meV/atom; space group = Pm-3m; ΔH_f (0 K) = -1384 meV/atom
1.0
-1.672 -4.897 2.955
0.316 -3.153 -5.047
5.711 -1.259 1.145
Pm As Pu
3 4 1
Cartesian
3.013 -2.206 -1.951
-0.678 -4.025 -1.046
2.019 -3.078 2.050
2.177 -4.655 -0.474
-0.836 -2.449 1.477
2.855 -0.630 0.572
0.158 -1.576 -2.523
0.000 0.000 0.000

=====

Pm2PuAs3 PBE relaxed; space group = I4/mmm; ΔH_f (0 K) = -977 meV/atom
1.0
-2.219 7.490 5.081
-0.009 9.318 -0.086
-1.601 -8.417 -3.663
Pm As Pu
2 3 1
Cartesian
-0.740 5.579 1.658
-1.488 11.229 3.337
-0.361 2.721 0.809
-1.114 8.404 2.498
-1.867 14.087 4.186
0.000 0.000 0.000

=====

PmPu2As3 PBE relaxed; offset from the most stable computed form = 29 meV/atom; space group = Fddd; ΔH_f (0 K) = -1156 meV/atom
1.0
7.098 0.035 -1.315
-2.714 6.559 -1.315
-0.011 -0.017 13.178
As Pm Pu
12 4 8
Cartesian
-0.612 4.327 9.925
2.563 3.782 7.232
4.258 1.156 9.906
1.877 2.751 3.317
1.128 1.697 -0.676
0.335 0.576 8.528
3.256 4.897 -1.953
0.146 5.468 0.625
4.955 2.204 0.643
5.704 3.258 4.637
3.575 0.057 5.913
3.972 6.046 2.021
4.011 6.032 8.577
0.363 0.545 1.972
0.096 5.465 7.247
-0.629 4.374 3.302
0.821 6.554 11.187
2.559 3.848 0.678
-1.353 3.285 -0.638
5.006 2.209 7.267
1.087 1.635 5.912
4.273 1.107 3.282
3.286 4.943 4.637
1.815 2.729 9.871

=====

Pm2PuAs3Rh4 PBE relaxed; space group = P-4m2; ΔH_f (0 K) = -879 meV/atom
1.0
4.147 0.000 0.000
0.000 4.147 0.000
0.000 0.000 11.333
Pm Rh As Pu
2 4 3 1
Cartesian
0.000 2.074 8.798
2.074 0.000 2.535
2.074 2.074 0.000
2.074 0.000 7.449
0.000 0.000 0.000
0.000 2.074 3.884
0.000 0.000 5.667
2.074 0.000 9.877
0.000 2.074 1.457
2.074 2.074 5.667

=====

Pm2PuAs4Rh3 PBE relaxed; space group = P-4m2; ΔH_f (0 K) = -833 meV/atom
1.0
-0.680 -4.242 -0.303
0.765 0.179 -4.235
10.760 -1.858 1.866
Rh As Pm Pu
3 4 2 1
Cartesian
9.240 -3.775 1.510
5.380 -0.929 0.933
1.562 -0.114 -1.913
0.043 -2.031 -2.269
6.858 -3.364 1.097
0.000 0.000 0.000
3.945 -0.525 -1.500
8.765 -1.358 -0.664
2.038 -2.532 0.261
5.423 -2.960 -1.336

=====

PmPuAsRh PBE relaxed; space group = F-43m; ΔH_f (0 K) = -647 meV/atom
1.0
5.021 0.000 0.000
2.510 4.348 0.000
2.510 1.449 4.099
Rh Pu As Pm
1 1 1 1
Cartesian
5.021 2.899 2.050
7.531 4.348 3.074
0.000 0.000 0.000
2.510 1.449 1.025

=====

PmPu2As2Rh7 PBE relaxed; space group = C2/m; ΔH_f (0 K) = -530 meV/atom
1.0
4.113 0.052 0.337
0.057 4.113 0.337
3.141 3.137 13.223
Pu Rh As Pm
2 7 2 1
Cartesian
3.491 3.487 8.910
3.819 3.815 4.988
4.863 4.857 7.152
3.341 5.365 11.262
1.941 3.967 2.636
2.448 2.445 6.746
5.369 3.334 11.262
2.085 2.082 0.337
3.970 1.937 2.636
5.509 5.502 10.056
1.802 1.800 3.842
0.000 0.000 0.000

=====

PmPuAsS PBE relaxed; offset from the most stable computed form = 0 meV/atom; space group = R3m; formation energy without anion corrections = -6.46 eV/f.u.
1.0
4.120 0.000 0.000
2.060 3.568 0.000
2.060 1.189 6.630
Pm S Pu As
1 1 1 1
Cartesian
2.060 1.189 2.808
4.120 2.379 4.484
6.180 3.568 6.035
6.180 3.568 1.065

=====

PmPuAsS PBE relaxed; offset from the most stable computed form = 357 meV/atom; space group = F-43m; formation energy without anion corrections = -5.03 eV/f.u.
1.0
5.027 0.000 0.000
2.514 4.354 0.000
2.514 1.451 4.105
Pu Pm As S
1 1 1 1
Cartesian
5.027 2.902 2.052
0.000 0.000 0.000
7.541 4.354 3.078
2.514 1.451 1.026

=====

PmPu2ScAs4 PBE relaxed; space group = P2/m; ΔH_f (0 K) = -1208 meV/atom
1.0
4.115 0.000 0.000
0.000 7.116 0.124
0.000 -2.487 6.618
Sc As Pm Pu
1 4 1 2
Cartesian
0.000 0.000 0.000
0.000 4.793 1.767
0.000 -0.164 4.976
2.058 1.082 1.652
2.058 3.546 5.090
2.058 3.558 0.062
0.000 2.314 3.371
2.058 -1.244 3.309

=====

Pm2PuScAs4 PBE relaxed; space group = P2/m; ΔH_f (0 K) = -1330 meV/atom
1.0
4.139 0.000 0.000
0.000 7.122 0.121
0.000 -2.492 6.688
Sc As Pm Pu
1 4 2 1
Cartesian
2.070 3.561 0.061
0.000 4.683 1.641
2.070 3.431 5.203
2.070 1.199 1.606
0.000 -0.053 5.168
0.000 2.315 3.404
2.070 -1.246 3.344
0.000 0.000 0.000